(1)
# K2AcU3N8

A relaxed K2AcU3N8 crystal (GGA-PBE, Alexandria).

abc: 7.3321 7.3321 7.3321
angles: 57.42 57.42 57.42
Element x y z (fractional)
K  0.0000  0.0000  0.0000
K  0.3764  0.3764  0.3764
Ac  0.7667  0.7667  0.7667
U  0.3761  0.3761  0.8810
U  0.3761  0.8810  0.3761
U  0.8810  0.3761  0.3761
N  0.1187  0.1187  0.5469
N  0.1187  0.5469  0.1187
N  0.1525  0.1525  0.1525
N  0.1909  0.6376  0.6376
N  0.5469  0.1187  0.1187
N  0.6057  0.6057  0.6057
N  0.6376  0.1909  0.6376
N  0.6376  0.6376  0.1909

Calculated values
Space group = R3m (160)
Final energy = -8.57 eV per atom
M_tot = 0.00 μB/f.u.
ΔE_f (raw) = -1274 kJ/mol of formula units


(2)
# Sm12Y7Er

A relaxed Sm12Y7Er crystal (GGA-PBE, Alexandria).

abc: 8.8290 8.8290 8.8290
angles: 86.40 86.40 86.40
Element x y z (fractional)
Sm  0.1006  0.3484  0.4203
Sm  0.2272  0.7525  0.3503
Sm  0.2475  0.6497  0.7728
Sm  0.3484  0.4203  0.1006
Sm  0.3503  0.2272  0.7525
Sm  0.4203  0.1006  0.3484
Sm  0.5797  0.8994  0.6516
Sm  0.6497  0.7728  0.2475
Sm  0.6516  0.5797  0.8994
Sm  0.7525  0.3503  0.2272
Sm  0.7728  0.2475  0.6497
Sm  0.8994  0.6516  0.5797
Y  0.0049  0.3593  0.8875
Y  0.1125  0.9951  0.6407
Y  0.3593  0.8875  0.0049
Y  0.5000  0.5000  0.5000
Y  0.6407  0.1125  0.9951
Y  0.8875  0.0049  0.3593
Y  0.9951  0.6407  0.1125
Er  0.0000  0.0000  0.0000

Calculated values
Space group = R-3 (148)
Formation energy from the elements = 0.24 eV per atom
Relative energy among the computed polymorphs = 0 meV/atom
Final energy = -5.09 eV per atom
M_tot = 0.00 μB/f.u.


(3)
# GaCu

A relaxed GaCu crystal (GGA-PBE, Alexandria).

abc: 2.6592 11.2940 6.0697
angles: 90.00 90.00 90.00
Element x y z (fractional)
Ga  0.0000  0.0000  0.0000
Ga  0.0000  0.2158  0.3619
Ga  0.0000  0.2842  0.8619
Ga  0.0000  0.5000  0.5000
Ga  0.0000  0.7158  0.8619
Ga  0.0000  0.7842  0.3619
Cu  0.0000  0.0000  0.4005
Cu  0.0000  0.5000  0.9005
Cu  0.5000  0.1171  0.6939
Cu  0.5000  0.3829  0.1939
Cu  0.5000  0.6171  0.1939
Cu  0.5000  0.8829  0.6939

Calculated values
Space group = Amm2 (38)
Formation energy from the elements = -0.03 eV per atom
Final energy = -3.59 eV per atom
M_tot = 0.00 μB/f.u.


(4)
# LiAgSBr2

A relaxed LiAgSBr2 crystal (GGA-PBE, Alexandria).

abc: 5.0838 5.0838 6.5759
angles: 90.00 90.00 90.00
Element x y z (fractional)
Li  0.0000  0.0000  0.0000
Ag  0.0000  0.0000  0.5000
S  0.5000  0.5000  0.0000
Br  0.0000  0.5000  0.5000
Br  0.5000  0.0000  0.5000

Calculated values
Space group = P4/mmm (123)
Final energy = -2.28 eV per atom
M_tot = 1.48 μB/f.u.
ΔE_f (raw) = 79 kJ/mol of formula units